[1]
The following is a DFT calculation (PBE) of crystalline PuZr3N4 at its relaxed geometry.

Summary:
The calculated total energy comes out at -86.2 eV/cell. Its symmetry is Cmmm.

abc: 5.714 5.714 3.298
angles: 90.00 90.00 109.22
Fractional coordinates of all 8 atoms:
Pu 0.000 0.000 0.000
Zr 0.000 0.500 0.500
Zr 0.500 0.000 0.500
Zr 0.500 0.500 0.000
N 0.254 0.746 0.000
N 0.259 0.259 0.500
N 0.741 0.741 0.500
N 0.746 0.254 0.000

=====

[2]
The following is a DFT calculation (PBE) of crystalline Rb2ReWN4 at its relaxed geometry.

Summary:
The calculated total energy comes out at -62.9 eV/cell. Its symmetry is I-4.

abc: 6.113 6.113 6.113
angles: 121.01 121.01 88.25
Fractional coordinates of all 8 atoms:
Rb 0.000 0.000 0.000
Rb 0.750 0.250 0.500
Re 0.500 0.500 0.000
W 0.250 0.750 0.500
N 0.326 0.624 0.199
N 0.376 0.575 0.701
N 0.425 0.127 0.801
N 0.873 0.674 0.299

=====

[3]
The following is a DFT calculation (PBE) of crystalline Rb2TbWN4 at its relaxed geometry.

Summary:
The calculated total energy comes out at -57.3 eV/cell. Its symmetry is I-4.

abc: 6.274 6.274 6.274
angles: 121.42 121.42 87.56
Fractional coordinates of all 8 atoms:
Rb 0.000 0.000 0.000
Rb 0.750 0.250 0.500
Tb 0.500 0.500 0.000
W 0.250 0.750 0.500
N 0.244 0.647 0.156
N 0.353 0.509 0.597
N 0.491 0.088 0.844
N 0.912 0.756 0.403

=====

[4]
The following is a DFT calculation (PBE) of crystalline Rb3TcN at its relaxed geometry.

Summary:
The calculated total energy comes out at -14.3 eV/cell. Its symmetry is Pm-3m.

abc: 5.748 5.748 5.748
angles: 90.00 90.00 90.00
Fractional coordinates of all 5 atoms:
Rb 0.000 0.000 0.500
Rb 0.000 0.500 0.000
Rb 0.500 0.000 0.000
Tc 0.500 0.500 0.500
N 0.000 0.000 0.000

=====

[5]
The following is a DFT calculation (PBE) of crystalline Rb2ZrWN4 at its relaxed geometry.

Summary:
The calculated total energy comes out at -63.0 eV/cell. Its symmetry is I-4.

abc: 6.128 6.128 6.128
angles: 120.90 120.90 88.44
Fractional coordinates of all 8 atoms:
Rb 0.000 0.000 0.000
Rb 0.750 0.250 0.500
Zr 0.500 0.500 0.000
W 0.250 0.750 0.500
N 0.267 0.635 0.162
N 0.365 0.527 0.632
N 0.473 0.105 0.838
N 0.895 0.733 0.368

=====

[6]
The following is a DFT calculation (PBE) of crystalline Re2N at its relaxed geometry.

Summary:
The calculated total energy comes out at -28.6 eV/cell. Its symmetry is Fm-3m.

abc: 3.765 3.765 3.765
angles: 60.00 60.00 60.00
Fractional coordinates of all 3 atoms:
Re 0.250 0.250 0.250
Re 0.750 0.750 0.750
N 0.000 0.000 0.000

=====

- Number 1 is which compound?
  PuZr3N4

=====

- Look up the calculated total energy of the second one.
  -62.9 eV/cell